The following is a DFT calculation (PBE-GGA) of an optimized crystal structure of HPbSCl2.

Crystal system ... tetragonal
Relative energy among the computed polymorphs ... 0.0 meV per atom
V ... 23.12 Å³ per atom

Cell: 5.667 5.667 3.599 Å, 90.00 90.00 90.00°
Element x y z (fractional)
Cl1 0.000 0.500 0.000
Cl2 0.500 0.000 0.000
H1 0.000 0.000 0.000
S1 0.000 0.000 0.500
Pb1 0.500 0.500 0.500

=====

The following is a DFT calculation (PBE-GGA) of an optimized crystal structure of SrZrTe2.

Crystal system ... orthorhombic
Formation energy (no corrections) ... -0.936 eV per atom
Relative energy among the computed polymorphs ... 138.6 meV per atom
V ... 31.41 Å³ per atom

Cell: 5.600 4.075 5.868 Å, 69.72 90.00 90.00°
Element x y z (fractional)
Te1 0.000 0.087 0.951
Te2 0.500 0.375 0.375
Sr1 0.500 0.657 0.812
Zr1 0.000 0.381 0.362

=====

The following is a DFT calculation (PBE-GGA) of an optimized crystal structure of BeIrOs2I.

Crystal system ... tetragonal
Formation energy (no corrections) ... 1.617 eV per atom
V ... 19.72 Å³ per atom

Cell: 4.823 4.239 4.823 Å, 90.00 90.00 90.00°
Element x y z (fractional)
Be1 0.000 0.500 0.000
I1 0.500 0.500 0.500
Os1 0.500 0.000 0.000
Os2 0.000 0.000 0.500
Ir1 0.000 0.000 0.000

=====

The following is a DFT calculation (PBE-GGA) of an optimized crystal structure of Sc2Fe4Tc.

Crystal system ... tetragonal
Energy of formation from the pure elements ... 0.733 eV/atom
V ... 18.27 Å³ per atom

Cell: 4.348 4.348 7.429 Å, 72.98 72.98 90.00°
Element x y z (fractional)
Sc1 0.378 0.378 0.243
Sc2 0.622 0.622 0.757
Fe1 0.819 0.819 0.362
Fe2 0.500 0.000 0.000
Fe3 0.181 0.181 0.638
Fe4 0.000 0.500 0.000
Tc1 0.000 0.000 0.000